1.
## Rb4PmNd3Te8 (PBE)

Data for crystalline Rb4PmNd3Te8 at its relaxed geometry.

- VASP energy: -4.4118 eV/atom
- Space group: R-3m, No. 166
- Crystal system: trigonal
- Calculated density: 5.03 g/cm3

a b c (Å): 10.112 10.112 10.112
angles (deg): 54.68 54.68 54.68
Element x y z (fractional)
Rb1 0.000 0.000 0.000
Rb2 0.000 0.500 0.500
Rb3 0.500 0.000 0.500
Rb4 0.500 0.500 0.000
Pm1 0.500 0.500 0.500
Nd1 0.000 0.000 0.500
Nd2 0.000 0.500 0.000
Nd3 0.500 0.000 0.000
Te1 0.235 0.235 0.235
Te2 0.236 0.734 0.734
Te3 0.266 0.266 0.764
Te4 0.266 0.764 0.266
Te5 0.734 0.236 0.734
Te6 0.734 0.734 0.236
Te7 0.764 0.266 0.266
Te8 0.765 0.765 0.765

2.
## Sc3Al3Ru2Rh (PBE)

Data for crystalline Sc3Al3Ru2Rh at its relaxed geometry.

- VASP energy: -6.9312 eV/atom
- Space group: P-62m, No. 189
- Fermi-level density of states: 0.65 states/eV per atom
- Crystal system: hexagonal
- Calculated density: 5.61 g/cm3

a b c (Å): 6.662 6.662 4.008
angles (deg): 90.00 90.00 120.00
Element x y z (fractional)
Sc1 0.000 0.584 0.000
Sc2 0.416 0.416 0.000
Sc3 0.584 0.000 0.000
Al1 0.000 0.243 0.500
Al2 0.243 0.000 0.500
Al3 0.757 0.757 0.500
Ru1 0.333 0.667 0.500
Ru2 0.667 0.333 0.500
Rh1 0.000 0.000 0.000

3.
## ZrTaZnSi2 (PBE)

Data for crystalline ZrTaZnSi2 at its relaxed geometry.

- VASP energy: -5.7196 eV/atom
- Space group: P4/mmm, No. 123
- Fermi-level density of states: 0.76 states/eV per atom
- Crystal system: tetragonal
- Calculated density: 5.34 g/cm3

a b c (Å): 4.878 4.878 5.147
angles (deg): 90.00 90.00 90.00
Element x y z (fractional)
Zr1 0.000 0.000 0.000
Ta1 0.000 0.000 0.500
Zn1 0.500 0.500 0.000
Si1 0.000 0.500 0.500
Si2 0.500 0.000 0.500

4.
## Ti4NbPt (PBE)

Data for crystalline Ti4NbPt at its relaxed geometry.

- VASP energy: -7.8406 eV/atom
- Space group: P4/mmm, No. 123
- Fermi-level density of states: 1.08 states/eV per atom
- Crystal system: tetragonal
- Calculated density: 6.80 g/cm3

a b c (Å): 4.363 4.363 6.151
angles (deg): 90.00 90.00 90.00
Element x y z (fractional)
Ti1 0.000 0.500 0.249
Ti2 0.000 0.500 0.751
Ti3 0.500 0.000 0.249
Ti4 0.500 0.000 0.751
Nb1 0.000 0.000 0.500
Pt1 0.500 0.500 0.000

5.
## BaAlP2 (PBE)

Data for crystalline BaAlP2 at its relaxed geometry.

- VASP energy: -4.3030 eV/atom
- Space group: Pmm2, No. 25
- Fermi-level density of states: 0.67 states/eV per atom
- Crystal system: orthorhombic
- Calculated density: 3.65 g/cm3

a b c (Å): 3.529 3.627 8.033
angles (deg): 90.00 90.00 90.00
Element x y z (fractional)
Ba1 0.000 0.000 0.000
Al1 0.500 0.500 0.517
P1 0.000 0.000 0.602
P2 0.500 0.500 0.222

6.
## LiCu2Pt (PBE)

Data for crystalline LiCu2Pt at its relaxed geometry.

- VASP energy: -4.2669 eV/atom
- E above lowest polymorph: 46.6 meV/atom
- Space group: F-43m, No. 216
- Fermi-level density of states: 0.36 states/eV per atom
- Crystal system: cubic
- Calculated density: 10.61 g/cm3

a b c (Å): 5.906 5.906 5.906
angles (deg): 90.00 90.00 90.00
Element x y z (fractional)
Li1 0.000 0.000 0.000
Li2 0.000 0.500 0.500
Li3 0.500 0.000 0.500
Li4 0.500 0.500 0.000
Cu1 0.000 0.000 0.500
Cu2 0.000 0.500 0.000
Cu3 0.250 0.250 0.750
Cu4 0.250 0.750 0.250
Cu5 0.500 0.000 0.000
Cu6 0.500 0.500 0.500
Cu7 0.750 0.250 0.250
Cu8 0.750 0.750 0.750
Pt1 0.250 0.250 0.250
Pt2 0.250 0.750 0.750
Pt3 0.750 0.250 0.750
Pt4 0.750 0.750 0.250

7.
## HfMnSi (PBE)

Data for crystalline HfMnSi at its relaxed geometry.

- VASP energy: -8.8683 eV/atom
- Space group: Pnma, No. 62
- Fermi-level density of states: 0.70 states/eV per atom
- Crystal system: orthorhombic
- Calculated density: 9.59 g/cm3

a b c (Å): 6.507 3.667 7.595
angles (deg): 90.00 90.00 90.00
Element x y z (fractional)
Hf1 0.028 0.250 0.179
Hf2 0.472 0.750 0.679
Hf3 0.528 0.250 0.321
Hf4 0.972 0.750 0.821
Mn1 0.142 0.250 0.565
Mn2 0.358 0.750 0.065
Mn3 0.642 0.250 0.935
Mn4 0.858 0.750 0.435
Si1 0.226 0.750 0.377
Si2 0.274 0.250 0.877
Si3 0.726 0.750 0.123
Si4 0.774 0.250 0.623

8.
## NaAg2H2 (PBE)

Data for crystalline NaAg2H2 at its relaxed geometry.

- VASP energy: -2.5499 eV/atom
- E above lowest polymorph: 0.0 meV/atom
- Space group: I4/mmm, No. 139
- Fermi-level density of states: 0.30 states/eV per atom
- Crystal system: tetragonal
- Calculated density: 5.97 g/cm3

a b c (Å): 3.821 3.821 9.180
angles (deg): 90.00 90.00 90.00
Element x y z (fractional)
Na1 0.000 0.000 0.000
Na2 0.500 0.500 0.500
Ag1 0.000 0.000 0.334
Ag2 0.000 0.000 0.666
Ag3 0.500 0.500 0.166
Ag4 0.500 0.500 0.834
H1 0.000 0.500 0.250
H2 0.000 0.500 0.750
H3 0.500 0.000 0.250
H4 0.500 0.000 0.750

9.
## Ho2AlSi4Ni3 (PBE)

Data for crystalline Ho2AlSi4Ni3 at its relaxed geometry.

- VASP energy: -5.9877 eV/atom
- Space group: P-4m2, No. 115
- Fermi-level density of states: 0.38 states/eV per atom
- Crystal system: tetragonal
- Calculated density: 6.97 g/cm3

a b c (Å): 3.928 3.928 9.959
angles (deg): 90.00 90.00 90.00
Element x y z (fractional)
Ho1 0.000 0.500 0.239
Ho2 0.500 0.000 0.761
Al1 0.000 0.000 0.500
Si1 0.000 0.000 0.000
Si2 0.000 0.500 0.650
Si3 0.500 0.000 0.350
Si4 0.500 0.500 0.000
Ni1 0.000 0.500 0.878
Ni2 0.500 0.000 0.122
Ni3 0.500 0.500 0.500

10.
## RbPaInO5 (PBE)

Data for crystalline RbPaInO5 at its relaxed geometry.

- VASP energy: -6.9898 eV/atom
- Space group: C2/c, No. 15
- Fermi-level density of states: 0.95 states/eV per atom
- Crystal system: monoclinic
- Calculated density: 5.48 g/cm3

a b c (Å): 6.532 6.532 8.392
angles (deg): 105.09 105.09 106.09
Element x y z (fractional)
Rb1 0.173 0.827 0.750
Rb2 0.827 0.173 0.250
Pa1 0.500 0.500 0.000
Pa2 0.500 0.500 0.500
In1 0.191 0.809 0.250
In2 0.809 0.191 0.750
O1 0.149 0.277 0.900
O2 0.223 0.606 0.401
O3 0.277 0.149 0.400
O4 0.394 0.777 0.099
O5 0.449 0.551 0.750
O6 0.551 0.449 0.250
O7 0.606 0.223 0.901
O8 0.723 0.851 0.600
O9 0.777 0.394 0.599
O10 0.851 0.723 0.100

11.
## BaNdSm4Se8 (PBE)

Data for crystalline BaNdSm4Se8 at its relaxed geometry.

- VASP energy: -5.6075 eV/atom
- Space group: R3m, No. 160
- Fermi-level density of states: 0.28 states/eV per atom
- Crystal system: trigonal
- Calculated density: 5.25 g/cm3

a b c (Å): 8.797 8.797 8.797
angles (deg): 59.76 59.76 59.76
Element x y z (fractional)
Ba1 0.000 0.000 0.000
Nd1 0.373 0.373 0.373
Sm1 0.373 0.373 0.879
Sm2 0.373 0.879 0.373
Sm3 0.749 0.749 0.749
Sm4 0.879 0.373 0.373
Se1 0.138 0.138 0.576
Se2 0.138 0.576 0.138
Se3 0.141 0.141 0.141
Se4 0.145 0.619 0.619
Se5 0.576 0.138 0.138
Se6 0.617 0.617 0.617
Se7 0.619 0.145 0.619
Se8 0.619 0.619 0.145

12.
## La2PbI (PBE)

Data for crystalline La2PbI at its relaxed geometry.

- VASP energy: -4.6051 eV/atom
- E above lowest polymorph: 52.7 meV/atom
- Space group: R3m, No. 160
- Fermi-level density of states: 0.90 states/eV per atom
- Crystal system: trigonal
- Calculated density: 6.85 g/cm3

a b c (Å): 4.608 4.608 24.203
angles (deg): 90.00 90.00 120.00
Element x y z (fractional)
La1 0.000 0.000 0.000
La2 0.000 0.000 0.186
La3 0.333 0.667 0.667
La4 0.333 0.667 0.853
La5 0.667 0.333 0.333
La6 0.667 0.333 0.520
Pb1 0.000 0.000 0.592
Pb2 0.333 0.667 0.259
Pb3 0.667 0.333 0.925
I1 0.000 0.000 0.762
I2 0.333 0.667 0.428
I3 0.667 0.333 0.095